--- 1 ---
{"formula": "Fe2TeBr", "functional": "PBE-GGA", "state": "relaxed", "lattice_angstrom": [[-2.745, 2.745, 5.539], [2.745, -2.745, 5.539], [2.745, 2.745, -5.539]], "species": ["Fe", "Fe", "Fe", "Fe", "Te", "Te", "Br", "Br"], "frac_coords": [[0.099, 0.625, 0.974], [0.375, 0.349, 0.474], [0.651, 0.125, 0.026], [0.875, 0.901, 0.526], [0.250, 0.750, 0.500], [0.500, 0.500, 0.000], [0.000, 0.000, 0.000], [0.750, 0.250, 0.500]]}

--- 2 ---
{"formula": "Fe2TeBr", "functional": "PBE-GGA", "state": "relaxed", "lattice_angstrom": [[3.452, 0.000, 0.000], [0.000, 3.452, 0.000], [0.000, 0.000, 6.883]], "species": ["Fe", "Fe", "Te", "Br"], "frac_coords": [[0.000, 0.000, 0.182], [0.000, 0.000, 0.818], [0.500, 0.500, 0.000], [0.500, 0.500, 0.500]]}

Verdict on stability: 2 comes out on top.

--- 1 ---
{"formula": "Fe2TeBr", "functional": "PBE-GGA", "state": "relaxed", "lattice_angstrom": [[1.653, -3.164, 0.000], [1.653, 3.164, 0.000], [0.000, 0.000, 8.072]], "species": ["Fe", "Fe", "Te", "Br"], "frac_coords": [[0.000, 0.000, 0.249], [0.000, 0.000, 0.751], [0.500, 0.500, 0.500], [0.500, 0.500, 0.000]]}

--- 2 ---
{"formula": "Fe2TeBr", "functional": "PBE-GGA", "state": "relaxed", "lattice_angstrom": [[3.410, -3.410, 0.000], [3.410, 3.410, 0.000], [-0.020, 0.000, 3.219]], "species": ["Fe", "Fe", "Te", "Br"], "frac_coords": [[0.000, 0.500, 0.000], [0.500, 0.000, 0.000], [0.000, 0.000, 0.500], [0.500, 0.500, 0.500]]}

--- 3 ---
{"formula": "Fe2TeBr", "functional": "PBE-GGA", "state": "relaxed", "lattice_angstrom": [[1.761, 1.017, 7.345], [-1.761, 1.017, 7.345], [0.000, -2.034, 7.345]], "species": ["Fe", "Fe", "Te", "Br"], "frac_coords": [[0.249, 0.249, 0.249], [0.751, 0.751, 0.751], [0.500, 0.500, 0.500], [0.000, 0.000, 0.000]]}

--- 4 ---
{"formula": "Fe2TeBr", "functional": "PBE-GGA", "state": "relaxed", "lattice_angstrom": [[3.411, 0.000, 0.000], [0.000, 3.731, 0.000], [0.000, 0.000, 6.615]], "species": ["Fe", "Fe", "Te", "Br"], "frac_coords": [[0.000, 0.000, 0.181], [0.000, 0.000, 0.819], [0.500, 0.500, 0.000], [0.500, 0.000, 0.500]]}

Verdict on stability: 4 comes out on top.

--- 1 ---
{"formula": "Fe2TeBr", "functional": "PBE-GGA", "state": "relaxed", "lattice_angstrom": [[0.000, 3.170, 3.170], [3.170, 0.000, 3.170], [3.170, 3.170, 0.000]], "species": ["Fe", "Fe", "Te", "Br"], "frac_coords": [[0.250, 0.250, 0.250], [0.750, 0.750, 0.750], [0.000, 0.000, 0.000], [0.500, 0.500, 0.500]]}

--- 2 ---
{"formula": "Fe2TeBr", "functional": "PBE-GGA", "state": "relaxed", "lattice_angstrom": [[4.030, -1.745, 0.000], [4.030, 1.745, 0.000], [-0.796, 0.000, 6.991]], "species": ["Fe", "Fe", "Te", "Br"], "frac_coords": [[0.000, 0.000, 0.000], [0.708, 0.708, 0.078], [0.273, 0.273, 0.817], [0.503, 0.503, 0.302]]}

Verdict on stability: 2 comes out on top.

--- 1 ---
{"formula": "Fe2TeBr", "functional": "PBE-GGA", "state": "relaxed", "lattice_angstrom": [[-1.650, 3.368, 4.014], [1.650, -3.368, 4.014], [1.650, 3.368, -4.014]], "species": ["Fe", "Fe", "Te", "Br"], "frac_coords": [[0.245, 0.245, 0.000], [0.755, 0.755, 0.000], [0.500, 0.000, 0.500], [0.000, 0.500, 0.500]]}

--- 2 ---
{"formula": "Fe2TeBr", "functional": "PBE-GGA", "state": "relaxed", "lattice_angstrom": [[4.499, -1.666, 0.000], [4.499, 1.666, 0.000], [-4.327, 0.000, 6.018]], "species": ["Fe", "Fe", "Te", "Br"], "frac_coords": [[0.207, 0.207, 0.352], [0.793, 0.793, 0.648], [0.000, 0.000, 0.500], [0.500, 0.500, 0.000]]}

--- 3 ---
{"formula": "Fe2TeBr", "functional": "PBE-GGA", "state": "relaxed", "lattice_angstrom": [[-1.864, 1.864, 6.214], [1.864, -1.864, 6.214], [1.864, 1.864, -6.214]], "species": ["Fe", "Fe", "Te", "Br"], "frac_coords": [[0.000, 0.000, 0.000], [0.750, 0.250, 0.500], [0.250, 0.750, 0.500], [0.500, 0.500, 0.000]]}

Verdict on stability: 2 comes out on top.

--- 1 ---
{"formula": "TlFe2Br", "functional": "PBE-GGA", "state": "relaxed", "lattice_angstrom": [[-1.903, 1.903, 5.362], [1.903, -1.903, 5.362], [1.903, 1.903, -5.362]], "species": ["Tl", "Fe", "Fe", "Br"], "frac_coords": [[0.000, 0.000, 0.000], [0.500, 0.500, 0.000], [0.750, 0.250, 0.500], [0.250, 0.750, 0.500]]}

--- 2 ---
{"formula": "TlFe2Br", "functional": "PBE-GGA", "state": "relaxed", "lattice_angstrom": [[1.558, -2.935, 0.000], [1.558, 2.935, 0.000], [0.000, 0.000, 8.678]], "species": ["Tl", "Fe", "Fe", "Br"], "frac_coords": [[0.000, 0.000, 0.000], [0.500, 0.500, 0.264], [0.500, 0.500, 0.736], [0.000, 0.000, 0.500]]}

Verdict on stability: 2 comes out on top.

--- 1 ---
{"formula": "TlFe2Br", "functional": "PBE-GGA", "state": "relaxed", "lattice_angstrom": [[-1.590, 2.345, 5.745], [1.590, -2.345, 5.745], [1.590, 2.345, -5.745]], "species": ["Tl", "Fe", "Fe", "Br"], "frac_coords": [[0.000, 0.000, 0.000], [0.467, 0.467, 0.000], [0.623, 0.123, 0.500], [0.275, 0.775, 0.500]]}

--- 2 ---
{"formula": "TlFe2Br", "functional": "PBE-GGA", "state": "relaxed", "lattice_angstrom": [[6.150, -1.603, 0.000], [6.150, 1.603, 0.000], [-0.012, 0.000, 4.672]], "species": ["Tl", "Fe", "Fe", "Br"], "frac_coords": [[0.000, 0.000, 0.000], [0.526, 0.526, 0.500], [0.887, 0.887, 0.499], [0.228, 0.228, 0.501]]}

--- 3 ---
{"formula": "TlFe2Br", "functional": "PBE-GGA", "state": "relaxed", "lattice_angstrom": [[3.975, 0.000, 0.000], [0.000, 3.363, 0.000], [-0.007, 0.000, 6.397]], "species": ["Tl", "Fe", "Fe", "Br"], "frac_coords": [[0.000, 0.000, 0.000], [0.500, 0.500, 0.178], [0.500, 0.500, 0.822], [0.500, 0.000, 0.500]]}

--- 4 ---
{"formula": "TlFe2Br", "functional": "PBE-GGA", "state": "relaxed", "lattice_angstrom": [[3.177, 0.000, 0.000], [0.000, 3.177, 0.000], [0.000, 0.000, 7.219]], "species": ["Tl", "Fe", "Fe", "Br"], "frac_coords": [[0.000, 0.000, 0.000], [0.500, 0.500, 0.265], [0.500, 0.500, 0.735], [0.000, 0.000, 0.500]]}

Verdict on stability: 2 comes out on top.

--- 1 ---
{"formula": "TlFe2Br", "functional": "PBE-GGA", "state": "relaxed", "lattice_angstrom": [[3.056, -4.620, 0.000], [3.056, 4.620, 0.000], [-1.775, 0.000, 2.819]], "species": ["Tl", "Fe", "Fe", "Br"], "frac_coords": [[0.000, 0.000, 0.000], [0.000, 0.500, 0.000], [0.500, 0.000, 0.000], [0.500, 0.500, 0.000]]}

--- 2 ---
{"formula": "TlFe2Br", "functional": "PBE-GGA", "state": "relaxed", "lattice_angstrom": [[3.113, 0.000, 0.000], [0.000, 4.526, 0.000], [0.000, 0.000, 5.561]], "species": ["Tl", "Fe", "Fe", "Br"], "frac_coords": [[0.000, 0.000, 0.000], [0.000, 0.500, 0.500], [0.500, 0.500, 0.000], [0.500, 0.000, 0.500]]}

--- 3 ---
{"formula": "TlFe2Br", "functional": "PBE-GGA", "state": "relaxed", "lattice_angstrom": [[4.786, -1.609, 0.000], [4.786, 1.609, 0.000], [-4.759, 0.000, 5.974]], "species": ["Tl", "Fe", "Fe", "Br"], "frac_coords": [[0.000, 0.000, 0.000], [0.199, 0.199, 0.856], [0.801, 0.801, 0.144], [0.500, 0.500, 0.500]]}

Verdict on stability: 3 comes out on top.

--- 1 ---
{"formula": "TlFe2Br", "functional": "PBE-GGA", "state": "relaxed", "lattice_angstrom": [[0.000, 3.326, 3.326], [3.326, 0.000, 3.326], [3.326, 3.326, 0.000]], "species": ["Tl", "Fe", "Fe", "Br"], "frac_coords": [[0.000, 0.000, 0.000], [0.250, 0.250, 0.250], [0.750, 0.750, 0.750], [0.500, 0.500, 0.500]]}

--- 2 ---
{"formula": "TlFe2Br", "functional": "PBE-GGA", "state": "relaxed", "lattice_angstrom": [[-3.578, 3.578, 3.153], [3.578, -3.578, 3.153], [3.578, 3.578, -3.153]], "species": ["Tl", "Tl", "Fe", "Fe", "Fe", "Fe", "Br", "Br"], "frac_coords": [[0.000, 0.000, 0.000], [0.750, 0.250, 0.500], [0.159, 0.625, 0.034], [0.375, 0.409, 0.534], [0.591, 0.125, 0.966], [0.875, 0.841, 0.466], [0.250, 0.750, 0.500], [0.500, 0.500, 0.000]]}

Verdict on stability: 2 comes out on top.

--- 1 ---
{"formula": "TlFe2Br", "functional": "PBE-GGA", "state": "relaxed", "lattice_angstrom": [[0.000, 3.435, 3.435], [3.435, 0.000, 3.435], [3.435, 3.435, 0.000]], "species": ["Tl", "Fe", "Fe", "Br"], "frac_coords": [[0.000, 0.000, 0.000], [0.250, 0.250, 0.250], [0.500, 0.500, 0.500], [0.750, 0.750, 0.750]]}

--- 2 ---
{"formula": "TlFe2Br", "functional": "PBE-GGA", "state": "relaxed", "lattice_angstrom": [[1.633, 0.943, 8.175], [-1.633, 0.943, 8.175], [0.000, -1.886, 8.175]], "species": ["Tl", "Fe", "Fe", "Br"], "frac_coords": [[0.000, 0.000, 0.000], [0.245, 0.245, 0.245], [0.755, 0.755, 0.755], [0.500, 0.500, 0.500]]}

Verdict on stability: 2 comes out on top.

--- 1 ---
{"formula": "Tl2FeBr", "functional": "PBE-GGA", "state": "relaxed", "lattice_angstrom": [[3.341, 0.000, 0.000], [0.008, 5.506, 0.000], [0.003, 0.298, 5.520]], "species": ["Tl", "Tl", "Fe", "Br"], "frac_coords": [[0.000, 0.000, 0.000], [0.000, 0.500, 0.500], [0.500, 0.000, 0.500], [0.500, 0.500, 0.000]]}

--- 2 ---
{"formula": "Tl2FeBr", "functional": "PBE-GGA", "state": "relaxed", "lattice_angstrom": [[3.498, 0.000, 0.000], [0.000, 5.158, 0.000], [0.000, 0.000, 5.883]], "species": ["Tl", "Tl", "Fe", "Br"], "frac_coords": [[0.000, 0.000, 0.000], [0.500, 0.000, 0.500], [0.000, 0.500, 0.500], [0.500, 0.500, 0.000]]}

--- 3 ---
{"formula": "Tl2FeBr", "functional": "PBE-GGA", "state": "relaxed", "lattice_angstrom": [[1.747, 1.009, 10.006], [-1.747, 1.009, 10.006], [0.000, -2.017, 10.006]], "species": ["Tl", "Tl", "Fe", "Br"], "frac_coords": [[0.000, 0.000, 0.000], [0.242, 0.242, 0.242], [0.505, 0.505, 0.505], [0.787, 0.787, 0.787]]}

Verdict on stability: 3 comes out on top.

--- 1 ---
{"formula": "Tl2FeBr", "functional": "PBE-GGA", "state": "relaxed", "lattice_angstrom": [[3.374, 0.000, 0.000], [0.000, 1.972, 8.159], [0.000, -1.972, 8.159]], "species": ["Tl", "Tl", "Fe", "Br"], "frac_coords": [[0.000, 0.000, 0.000], [0.500, 0.354, 0.354], [0.500, 0.569, 0.569], [0.000, 0.681, 0.681]]}

--- 2 ---
{"formula": "Tl2FeBr", "functional": "PBE-GGA", "state": "relaxed", "lattice_angstrom": [[2.012, -2.660, 0.000], [2.012, 2.660, 0.000], [0.000, 0.000, 9.821]], "species": ["Tl", "Tl", "Fe", "Br"], "frac_coords": [[0.000, 0.000, 0.000], [0.500, 0.500, 0.284], [0.000, 0.000, 0.499], [0.500, 0.500, 0.655]]}

Verdict on stability: 1 comes out on top.